# Na2NdZnSn2 | Alexandria | PBE | optimized geometry
# **E_form**: -0.36 eV per atom
# **Density**: 4.99 g/cm³
# **Total energy**: -37.7 eV/cell
data_Na2NdZnSn2
_chemical_formula_sum 'Na4 Nd2 Zn2 Sn4'
_space_group_name_H-M_alt 'P m c 21'
_space_group_IT_number 26
_cell_length_a 4.763
_cell_length_b 8.930
_cell_length_c 7.722
_cell_angle_alpha 90.00
_cell_angle_beta 90.00
_cell_angle_gamma 90.00
loop_
_space_group_symop_operation_xyz
'x,y,z'
'-x,-y,z+1/2'
'-x,y,z'
'x,-y,z+1/2'
loop_
_atom_site_label
_atom_site_type_symbol
_atom_site_fract_x
_atom_site_fract_y
_atom_site_fract_z
Na1 Na 0.000 0.081 0.000
Na2 Na 0.500 0.150 0.315
Nd1 Nd 0.500 0.469 0.996
Zn1 Zn 0.000 0.321 0.639
Sn1 Sn 0.000 0.379 0.270
Sn2 Sn 0.500 0.189 0.723



# SmDyOsPd | Alexandria | PBE | optimized geometry
# **E_form**: -0.46 eV per atom
# **Density**: 11.96 g/cm³
# **Total energy**: -110.4 eV/cell
data_SmDyOsPd
_chemical_formula_sum 'Sm4 Dy4 Os4 Pd4'
_space_group_name_H-M_alt 'F -4 3 m'
_space_group_IT_number 216
_space_group_name_Hall 'F -4 2 3'
_cell_length_a 6.970
_cell_length_b 6.970
_cell_length_c 6.970
_cell_angle_alpha 90.00
_cell_angle_beta 90.00
_cell_angle_gamma 90.00
loop_
_atom_site_label
_atom_site_type_symbol
_atom_site_fract_x
_atom_site_fract_y
_atom_site_fract_z
Sm1 Sm 0.000 0.000 0.000
Dy1 Dy 0.000 0.000 0.500
Os1 Os 0.250 0.250 0.250
Pd1 Pd 0.250 0.250 0.750



# Si2IO | Alexandria | PBE | optimized geometry
# **Formation energy from raw total energies**: -0.05 eV/atom
# **Density**: 4.06 g/cm³
# **Total energy**: -70.2 eV/cell
# **ΔE to the lowest computed polymorph**: 0.0 meV per atom
data_Si2IO
_chemical_formula_sum 'Si8 I4 O4'
_space_group_name_H-M_alt 'I -4 2 d'
_space_group_IT_number 122
_space_group_name_Hall 'I -4 2bw'
_cell_length_a 4.933
_cell_length_b 4.933
_cell_length_c 13.389
_cell_angle_alpha 90.00
_cell_angle_beta 90.00
_cell_angle_gamma 90.00
loop_
_atom_site_label
_atom_site_type_symbol
_atom_site_fract_x
_atom_site_fract_y
_atom_site_fract_z
Si1 Si 0.025 0.250 0.125
I1 I 0.000 0.000 0.500
O1 O 0.000 0.000 0.000



# NpTaN | Alexandria | PBE | optimized geometry
# **Formation energy from raw total energies**: -0.60 eV/atom
# **Density**: 15.47 g/cm³
# **Total energy**: -139.6 eV/cell
data_NpTaN
_chemical_formula_sum 'Np4 Ta4 N4'
_space_group_name_H-M_alt 'A m m 2'
_space_group_IT_number 38
_cell_length_a 11.171
_cell_length_b 3.095
_cell_length_c 5.363
_cell_angle_alpha 90.00
_cell_angle_beta 90.00
_cell_angle_gamma 90.00
loop_
_space_group_symop_operation_xyz
'x,y,z'
'-x,-y,z'
'-x,y,z'
'x,-y,z'
'x,y+1/2,z+1/2'
'-x,-y+1/2,z+1/2'
'-x,y+1/2,z+1/2'
'x,-y+1/2,z+1/2'
loop_
_atom_site_label
_atom_site_type_symbol
_atom_site_fract_x
_atom_site_fract_y
_atom_site_fract_z
Np1 Np 0.000 0.000 0.000
Np2 Np 0.500 0.000 0.002
Ta1 Ta 0.255 0.000 0.333
N1 N 0.147 0.000 0.667



# Cs2TeIBr6 | Alexandria | PBE | optimized geometry
# **Formation energy from raw total energies**: -0.87 eV/atom
# **Density**: 3.39 g/cm³
# **Total energy**: -150.5 eV/cell
# **ΔE to the lowest computed polymorph**: 14.0 meV per atom
data_Cs2TeIBr6
_chemical_formula_sum 'Cs12 Te6 I6 Br36'
_space_group_name_H-M_alt 'R -3 m'
_space_group_IT_number 166
_space_group_name_Hall '-R 3 2"'
_cell_length_a 7.9245
_cell_length_b 7.9245
_cell_length_c 54.0088
_cell_angle_alpha 90.00
_cell_angle_beta 90.00
_cell_angle_gamma 120.00
loop_
_atom_site_label
_atom_site_type_symbol
_atom_site_fract_x
_atom_site_fract_y
_atom_site_fract_z
Cs1 Cs 0.0000 0.0000 0.1397
Cs2 Cs 0.0000 0.0000 0.3044
Te1 Te 0.0000 0.0000 0.0000
Te2 Te 0.0000 0.0000 0.5000
I1 I 0.0000 0.0000 0.4044
Br1 Br 0.0054 0.5027 0.1376
Br2 Br 0.0142 0.5071 0.6966



# Ba2AgRu | Alexandria | PBE | optimized geometry
# **E_form**: 0.53 eV per atom
# **Density**: 7.28 g/cm³
# **Total energy**: -55.4 eV/cell
# **ΔE to the lowest computed polymorph**: 276.1 meV per atom
data_Ba2AgRu
_chemical_formula_sum 'Ba8 Ag4 Ru4'
_space_group_name_H-M_alt 'F -4 3 m'
_space_group_IT_number 216
_space_group_name_Hall 'F -4 2 3'
_cell_length_a 7.614
_cell_length_b 7.614
_cell_length_c 7.614
_cell_angle_alpha 90.00
_cell_angle_beta 90.00
_cell_angle_gamma 90.00
loop_
_atom_site_label
_atom_site_type_symbol
_atom_site_fract_x
_atom_site_fract_y
_atom_site_fract_z
Ba1 Ba 0.000 0.000 0.000
Ba2 Ba 0.250 0.250 0.250
Ag1 Ag 0.250 0.250 0.750
Ru1 Ru 0.000 0.000 0.500



# LiV | Alexandria | PBE | optimized geometry
# **E_form**: 0.36 eV per atom
# **Density**: 3.44 g/cm³
# **Total energy**: -20.6 eV/cell
# **ΔE to the lowest computed polymorph**: 0.0 meV per atom
data_LiV
_chemical_formula_sum 'Li2 V2'
_space_group_name_H-M_alt 'C m m m'
_space_group_IT_number 65
_space_group_name_Hall '-C 2 2'
_cell_length_a 2.830
_cell_length_b 3.957
_cell_length_c 4.995
_cell_angle_alpha 90.00
_cell_angle_beta 90.00
_cell_angle_gamma 90.00
loop_
_atom_site_label
_atom_site_type_symbol
_atom_site_fract_x
_atom_site_fract_y
_atom_site_fract_z
Li1 Li 0.000 0.000 0.000
V1 V 0.000 0.500 0.500



# InTcPt | Alexandria | PBE | optimized geometry
# **E_form**: 0.09 eV per atom
# **Density**: 13.36 g/cm³
# **Total energy**: -18.9 eV/cell
# **ΔE to the lowest computed polymorph**: 106.1 meV per atom
data_InTcPt
_chemical_formula_sum 'In1 Tc1 Pt1'
_space_group_name_H-M_alt 'P 3 m 1'
_space_group_IT_number 156
_cell_length_a 2.9289
_cell_length_b 2.9289
_cell_length_c 6.8225
_cell_angle_alpha 90.00
_cell_angle_beta 90.00
_cell_angle_gamma 120.00
loop_
_space_group_symop_operation_xyz
'x,y,z'
'-y,x-y,z'
'-x+y,-x,z'
'-y,-x,z'
'-x+y,y,z'
'x,x-y,z'
loop_
_atom_site_label
_atom_site_type_symbol
_atom_site_fract_x
_atom_site_fract_y
_atom_site_fract_z
In1 In 0.0000 0.0000 0.0000
Tc1 Tc 0.6667 0.3333 0.6553
Pt1 Pt 0.3333 0.6667 0.3466



# Dy4Y5Mg | Alexandria | PBE | optimized geometry
# **E_form**: 0.00 eV per atom
# **Density**: 5.98 g/cm³
# **Total energy**: -52.3 eV/cell
data_Dy4Y5Mg
_chemical_formula_sum 'Dy4 Y5 Mg1'
_space_group_name_H-M_alt 'P 4/m m m'
_space_group_IT_number 123
_space_group_name_Hall '-P 4 2'
_cell_length_a 3.569
_cell_length_b 3.569
_cell_length_c 24.411
_cell_angle_alpha 90.00
_cell_angle_beta 90.00
_cell_angle_gamma 90.00
loop_
_atom_site_label
_atom_site_type_symbol
_atom_site_fract_x
_atom_site_fract_y
_atom_site_fract_z
Dy1 Dy 0.000 0.000 0.103
Dy2 Dy 0.000 0.000 0.309
Y1 Y 0.500 0.500 0.000
Y2 Y 0.500 0.500 0.206
Y3 Y 0.500 0.500 0.410
Mg1 Mg 0.000 0.000 0.500



# Pu3Hf2PaAs6 | Alexandria | PBE | optimized geometry
# **E_form**: -1.05 eV per atom
# **Density**: 10.61 g/cm³
# **Total energy**: -225.8 eV/cell
data_Pu3Hf2PaAs6
_chemical_formula_sum 'Pu6 Hf4 Pa2 As12'
_space_group_name_H-M_alt 'C 1 2/m 1'
_space_group_IT_number 12
_cell_length_a 6.963
_cell_length_b 12.065
_cell_length_c 6.997
_cell_angle_alpha 90.00
_cell_angle_beta 109.48
_cell_angle_gamma 90.00
loop_
_space_group_symop_operation_xyz
'x,y,z'
'-x,-y,-z'
'-x,y,-z'
'x,-y,z'
'x+1/2,y+1/2,z'
'-x+1/2,-y+1/2,-z'
'-x+1/2,y+1/2,-z'
'x+1/2,-y+1/2,z'
loop_
_atom_site_label
_atom_site_type_symbol
_atom_site_fract_x
_atom_site_fract_y
_atom_site_fract_z
Pu1 Pu 0.000 0.000 0.000
Pu2 Pu 0.000 0.337 0.000
Hf1 Hf 0.000 0.168 0.500
Pa1 Pa 0.000 0.500 0.500
As1 As 0.235 0.000 0.732
As2 As 0.250 0.172 0.263



# Ho2SbS | Alexandria | PBE | optimized geometry
# **Formation energy from raw total energies**: -1.37 eV/atom
# **Density**: 7.25 g/cm³
# **Total energy**: -91.6 eV/cell
# **ΔE to the lowest computed polymorph**: 123.3 meV per atom
data_Ho2SbS
_chemical_formula_sum 'Ho8 Sb4 S4'
_space_group_name_H-M_alt 'P n m a'
_space_group_IT_number 62
_cell_length_a 5.881
_cell_length_b 4.362
_cell_length_c 17.271
_cell_angle_alpha 90.00
_cell_angle_beta 90.00
_cell_angle_gamma 90.00
loop_
_space_group_symop_operation_xyz
'x,y,z'
'-x,-y,-z'
'-x+1/2,-y,z+1/2'
'x+1/2,y,-z+1/2'
'x+1/2,-y+1/2,-z+1/2'
'-x+1/2,y+1/2,z+1/2'
'-x,y+1/2,-z'
'x,-y+1/2,z'
loop_
_atom_site_label
_atom_site_type_symbol
_atom_site_fract_x
_atom_site_fract_y
_atom_site_fract_z
Ho1 Ho 0.249 0.250 0.070
Ho2 Ho 0.249 0.750 0.326
Sb1 Sb 0.249 0.250 0.442
S1 S 0.249 0.750 0.173



# Pm3SmTm2Se6 | Alexandria | PBE | optimized geometry
# **Formation energy from raw total energies**: -1.78 eV/atom
# **Density**: 7.74 g/cm³
# **Total energy**: -140.4 eV/cell
data_Pm3SmTm2Se6
_chemical_formula_sum 'Pm6 Sm2 Tm4 Se12'
_space_group_name_H-M_alt 'C 1 2/m 1'
_space_group_IT_number 12
_cell_length_a 7.101
_cell_length_b 12.357
_cell_length_c 7.230
_cell_angle_alpha 90.00
_cell_angle_beta 109.18
_cell_angle_gamma 90.00
loop_
_space_group_symop_operation_xyz
'x,y,z'
'-x,-y,-z'
'-x,y,-z'
'x,-y,z'
'x+1/2,y+1/2,z'
'-x+1/2,-y+1/2,-z'
'-x+1/2,y+1/2,-z'
'x+1/2,-y+1/2,z'
loop_
_atom_site_label
_atom_site_type_symbol
_atom_site_fract_x
_atom_site_fract_y
_atom_site_fract_z
Pm1 Pm 0.000 0.000 0.000
Pm2 Pm 0.000 0.340 0.000
Sm1 Sm 0.000 0.500 0.500
Tm1 Tm 0.000 0.166 0.500
Se1 Se 0.235 0.000 0.734
Se2 Se 0.249 0.172 0.261